Entry 1
Entry from the Alexandria database: crystalline Dy3Cu2Ni at its relaxed geometry (PBE).

Properties
Space-group type: Pnma

Cell and atoms, written as POSCAR:
```
Dy3Cu2Ni
1.0
11.326 0.000 0.000
0.000 4.282 0.000
0.000 0.000 10.597
Dy Cu Ni
12 8 4
Cartesian
0.588 1.070 1.323
1.267 3.211 5.954
2.560 1.070 8.458
3.103 3.211 3.159
4.396 1.070 0.655
5.075 3.211 6.622
6.251 1.070 3.975
6.930 3.211 9.942
8.223 1.070 7.438
8.766 3.211 2.140
10.059 1.070 4.644
10.738 3.211 9.274
0.192 3.211 3.255
2.254 3.211 0.070
3.409 1.070 5.369
5.471 1.070 8.554
5.855 3.211 2.044
7.917 3.211 5.228
9.072 1.070 10.527
11.134 1.070 7.342
1.416 1.070 3.952
4.247 3.211 9.251
7.079 1.070 1.347
9.910 3.211 6.645
```

***

Entry 2
Entry from the Alexandria database: crystalline Dy3Cu2Ni at its relaxed geometry (PBE).

Properties
Space-group type: P4/mmm

Cell and atoms, written as POSCAR:
```
Dy3Cu2Ni
1.0
3.426 0.000 0.000
0.000 3.426 0.000
0.000 0.000 10.392
Dy Cu Ni
3 2 1
Cartesian
0.000 0.000 0.000
0.000 0.000 3.537
0.000 0.000 6.856
1.713 1.713 1.751
1.713 1.713 8.642
1.713 1.713 5.196
```

***

entry 2 has the most favorable energy; the next structure is 17 meV/atom above.